## Tl2VRh2O6 (PBE+U)

Data for Tl2VRh2O6 after structural relaxation.

abc: 5.4110 5.4110 6.7694
angles: 98.08 98.08 121.18
Closest atoms and distances in Å follow each position.
Sites, in units of the cell vectors:
Tl 0.1674 0.8326 0.0000  6 O 2.82-2.87, 3 Tl 3.08-3.16
Tl 0.8326 0.1674 0.0000  6 O 2.82-2.87, 3 Tl 3.08-3.16
V 0.0000 0.0000 0.5000  6 O 1.95-2.04
Rh 0.3342 0.6658 0.5000  6 O 2.07-2.11
Rh 0.6658 0.3342 0.5000  6 O 2.07-2.11
O 0.0494 0.3797 0.6559  1 V 2.04, 2 Rh 2.07-2.08
O 0.2572 0.2572 0.3435  1 V 1.95, 2 Rh 2.11
O 0.3797 0.0494 0.6559  1 V 2.04, 2 Rh 2.07-2.08
O 0.6203 0.9506 0.3441  1 V 2.04, 2 Rh 2.07-2.08
O 0.7428 0.7428 0.6565  1 V 1.95, 2 Rh 2.11
O 0.9506 0.6203 0.3441  1 V 2.04, 2 Rh 2.07-2.08

Computed properties:
DFT total energy = -6.136 eV per atom
size of the total moment = 0.93 μB per formula unit
crystal system = monoclinic